[1]
# PBE Pr3Ho2ErPdS2, optimized geometry
data_Pr3Ho2ErPdS2
_chemical_formula_sum 'Pr6 Ho4 Er2 Pd2 S4'
_cell_length_a 3.9398
_cell_length_b 14.0135
_cell_length_c 8.0936
_cell_angle_alpha 90.00
_cell_angle_beta 90.00
_cell_angle_gamma 90.00
_symmetry_space_group_name_H-M 'A m m 2'
_symmetry_Int_Tables_number 38
loop_
_symmetry_equiv_pos_as_xyz
'x,y,z'
'-x,-y,z'
'-x,y,z'
'x,-y,z'
'x,y+1/2,z+1/2'
'-x,-y+1/2,z+1/2'
'-x,y+1/2,z+1/2'
'x,-y+1/2,z+1/2'
loop_
_atom_site_label
_atom_site_fract_x
_atom_site_fract_y
_atom_site_fract_z
_atom_site_occupancy
Pr1 0.0000 0.0000 0.0000 1
Pr2 0.0000 0.2083 0.6251 1
Ho1 0.5000 0.1259 0.2907 1
Er1 0.5000 0.0000 0.6679 1
Pd1 0.0000 0.0000 0.4181 1
S1 0.5000 0.1665 0.9166 1
# **M_tot**: 0.0 μB/f.u.
# **Uncorrected energy**: -5.533 eV/atom

[2]
# PBE Pr3Ho2ErPdSe2, optimized geometry
data_Pr3Ho2ErPdSe2
_chemical_formula_sum 'Pr6 Ho4 Er2 Pd2 Se4'
_cell_length_a 3.9833
_cell_length_b 14.3203
_cell_length_c 8.2718
_cell_angle_alpha 90.00
_cell_angle_beta 90.00
_cell_angle_gamma 90.00
_symmetry_space_group_name_H-M 'A m m 2'
_symmetry_Int_Tables_number 38
loop_
_symmetry_equiv_pos_as_xyz
'x,y,z'
'-x,-y,z'
'-x,y,z'
'x,-y,z'
'x,y+1/2,z+1/2'
'-x,-y+1/2,z+1/2'
'-x,y+1/2,z+1/2'
'x,-y+1/2,z+1/2'
loop_
_atom_site_label
_atom_site_fract_x
_atom_site_fract_y
_atom_site_fract_z
_atom_site_occupancy
Pr1 0.0000 0.0000 0.0000 1
Pr2 0.0000 0.2064 0.6194 1
Ho1 0.5000 0.1237 0.2892 1
Er1 0.5000 0.0000 0.6597 1
Pd1 0.0000 0.0000 0.4143 1
Se1 0.5000 0.1665 0.9128 1
# **M_tot**: 0.0 μB/f.u.
# **Uncorrected energy**: -5.404 eV/atom

[3]
# PBE Pr3Ho2ErTe2Pd, optimized geometry
data_Pr3Ho2ErTe2Pd
_chemical_formula_sum 'Pr6 Ho4 Er2 Te4 Pd2'
_cell_length_a 4.0770
_cell_length_b 14.7780
_cell_length_c 8.5371
_cell_angle_alpha 90.00
_cell_angle_beta 90.00
_cell_angle_gamma 90.00
_symmetry_space_group_name_H-M 'A m m 2'
_symmetry_Int_Tables_number 38
loop_
_symmetry_equiv_pos_as_xyz
'x,y,z'
'-x,-y,z'
'-x,y,z'
'x,-y,z'
'x,y+1/2,z+1/2'
'-x,-y+1/2,z+1/2'
'-x,y+1/2,z+1/2'
'x,-y+1/2,z+1/2'
loop_
_atom_site_label
_atom_site_fract_x
_atom_site_fract_y
_atom_site_fract_z
_atom_site_occupancy
Pr1 0.0000 0.0000 0.0000 1
Pr2 0.0000 0.2032 0.6101 1
Ho1 0.5000 0.1204 0.2864 1
Er1 0.5000 0.0000 0.6470 1
Te1 0.5000 0.1665 0.9067 1
Pd1 0.0000 0.0000 0.4079 1
# **M_tot**: 0.0 μB/f.u.
# **Uncorrected energy**: -5.253 eV/atom

[4]
# PBE HoEr2Sn3Pd2Pt, optimized geometry
data_HoEr2Sn3Pd2Pt
_chemical_formula_sum 'Ho2 Er4 Sn6 Pd4 Pt2'
_cell_length_a 3.9225
_cell_length_b 13.1015
_cell_length_c 7.5566
_cell_angle_alpha 90.00
_cell_angle_beta 90.00
_cell_angle_gamma 90.00
_symmetry_space_group_name_H-M 'A m m 2'
_symmetry_Int_Tables_number 38
loop_
_symmetry_equiv_pos_as_xyz
'x,y,z'
'-x,-y,z'
'-x,y,z'
'x,-y,z'
'x,y+1/2,z+1/2'
'-x,-y+1/2,z+1/2'
'-x,y+1/2,z+1/2'
'x,-y+1/2,z+1/2'
loop_
_atom_site_label
_atom_site_fract_x
_atom_site_fract_y
_atom_site_fract_z
_atom_site_occupancy
Ho1 0.0000 0.0000 0.0000 1
Er1 0.0000 0.1997 0.5996 1
Sn1 0.5000 0.0000 0.6627 1
Sn2 0.5000 0.1313 0.2685 1
Pd1 0.5000 0.1672 0.8996 1
Pt1 0.0000 0.0000 0.4005 1
# **M_tot**: 0.0 μB/f.u.
# **Uncorrected energy**: -5.658 eV/atom

[5]
# PBE Ho2ErSn3PdPt2, optimized geometry
data_Ho2ErSn3PdPt2
_chemical_formula_sum 'Ho4 Er2 Sn6 Pd2 Pt4'
_cell_length_a 3.9894
_cell_length_b 13.0179
_cell_length_c 7.5184
_cell_angle_alpha 90.00
_cell_angle_beta 90.00
_cell_angle_gamma 90.00
_symmetry_space_group_name_H-M 'A m m 2'
_symmetry_Int_Tables_number 38
loop_
_symmetry_equiv_pos_as_xyz
'x,y,z'
'-x,-y,z'
'-x,y,z'
'x,-y,z'
'x,y+1/2,z+1/2'
'-x,-y+1/2,z+1/2'
'-x,y+1/2,z+1/2'
'x,-y+1/2,z+1/2'
loop_
_atom_site_label
_atom_site_fract_x
_atom_site_fract_y
_atom_site_fract_z
_atom_site_occupancy
Ho1 0.0000 0.2038 0.0000 1
Er1 0.0000 0.0000 0.6113 1
Sn1 0.5000 0.0000 0.9455 1
Sn2 0.5000 0.1291 0.3329 1
Pd1 0.0000 0.0000 0.2038 1
Pt1 0.5000 0.1666 0.7037 1
# **M_tot**: 0.0 μB/f.u.
# **Uncorrected energy**: -5.828 eV/atom

[6]
# PBE HoEr2Sn3PdPt2, optimized geometry
data_HoEr2Sn3PdPt2
_chemical_formula_sum 'Ho2 Er4 Sn6 Pd2 Pt4'
_cell_length_a 3.9863
_cell_length_b 13.0131
_cell_length_c 7.5106
_cell_angle_alpha 90.00
_cell_angle_beta 90.00
_cell_angle_gamma 90.00
_symmetry_space_group_name_H-M 'A m m 2'
_symmetry_Int_Tables_number 38
loop_
_symmetry_equiv_pos_as_xyz
'x,y,z'
'-x,-y,z'
'-x,y,z'
'x,-y,z'
'x,y+1/2,z+1/2'
'-x,-y+1/2,z+1/2'
'-x,y+1/2,z+1/2'
'x,-y+1/2,z+1/2'
loop_
_atom_site_label
_atom_site_fract_x
_atom_site_fract_y
_atom_site_fract_z
_atom_site_occupancy
Ho1 0.0000 0.0000 0.0000 1
Er1 0.0000 0.2038 0.6113 1
Sn1 0.5000 0.0000 0.6657 1
Sn2 0.5000 0.1291 0.2785 1
Pd1 0.0000 0.0000 0.4076 1
Pt1 0.5000 0.1667 0.9075 1
# **M_tot**: 0.0 μB/f.u.
# **Uncorrected energy**: -5.825 eV/atom

[7]
# PBE HoEr2Si4Pd4, optimized geometry
data_HoEr2Si4Pd4
_chemical_formula_sum 'Ho2 Er4 Si8 Pd8'
_cell_length_a 4.1003
_cell_length_b 6.9553
_cell_length_c 13.6094
_cell_angle_alpha 90.00
_cell_angle_beta 90.00
_cell_angle_gamma 90.00
_symmetry_space_group_name_H-M 'I m m m'
_symmetry_Int_Tables_number 71
_symmetry_space_group_name_Hall '-I 2 2'
loop_
_atom_site_label
_atom_site_fract_x
_atom_site_fract_y
_atom_site_fract_z
_atom_site_occupancy
Ho1 0.0000 0.0000 0.0000 1
Er1 0.0000 0.5000 0.1247 1
Si1 0.0000 0.0000 0.2193 1
Si2 0.0000 0.1813 0.5000 1
Pd1 0.0000 0.2988 0.3255 1
# **M_tot**: 0.0 μB/f.u.
# **Uncorrected energy**: -6.058 eV/atom

[8]
# PBE HoErSnPd2, optimized geometry
data_HoErSnPd2
_chemical_formula_sum 'Ho2 Er2 Sn2 Pd4'
_cell_length_a 3.5461
_cell_length_b 4.2489
_cell_length_c 14.5601
_cell_angle_alpha 90.00
_cell_angle_beta 90.00
_cell_angle_gamma 90.00
_symmetry_space_group_name_H-M 'A m m 2'
_symmetry_Int_Tables_number 38
loop_
_symmetry_equiv_pos_as_xyz
'x,y,z'
'-x,-y,z'
'-x,y,z'
'x,-y,z'
'x,y+1/2,z+1/2'
'-x,-y+1/2,z+1/2'
'-x,y+1/2,z+1/2'
'x,-y+1/2,z+1/2'
loop_
_atom_site_label
_atom_site_fract_x
_atom_site_fract_y
_atom_site_fract_z
_atom_site_occupancy
Ho1 0.0000 0.0000 0.0000 1
Er1 0.0000 0.0000 0.2633 1
Sn1 0.5000 0.0000 0.6316 1
Pd1 0.5000 0.0000 0.4411 1
Pd2 0.5000 0.0000 0.8213 1
# **M_tot**: 0.0 μB/f.u.
# **Uncorrected energy**: -5.612 eV/atom

[9]
# PBE HoErSn2Pd4, optimized geometry
data_HoErSn2Pd4
_chemical_formula_sum 'Ho1 Er1 Sn2 Pd4'
_cell_length_a 4.5657
_cell_length_b 4.5657
_cell_length_c 8.9297
_cell_angle_alpha 90.00
_cell_angle_beta 90.00
_cell_angle_gamma 120.00
_symmetry_space_group_name_H-M 'P -6 m 2'
_symmetry_Int_Tables_number 187
_symmetry_space_group_name_Hall 'P -6 2'
loop_
_atom_site_label
_atom_site_fract_x
_atom_site_fract_y
_atom_site_fract_z
_atom_site_occupancy
Ho1 0.0000 0.0000 0.0000 1
Er1 0.6667 0.3333 0.5000 1
Sn1 0.3333 0.6667 0.2506 1
Pd1 0.0000 0.0000 0.3374 1
Pd2 0.6667 0.3333 0.1636 1
# **M_tot**: 0.0 μB/f.u.
# **Uncorrected energy**: -5.623 eV/atom

[10]
# PBE Ho3Er3Te2Pd, optimized geometry
data_Ho3Er3Te2Pd
_chemical_formula_sum 'Ho3 Er3 Te2 Pd1'
_cell_length_a 8.3805
_cell_length_b 8.3805
_cell_length_c 3.9156
_cell_angle_alpha 90.00
_cell_angle_beta 90.00
_cell_angle_gamma 120.00
_symmetry_space_group_name_H-M 'P -6 2 m'
_symmetry_Int_Tables_number 189
_symmetry_space_group_name_Hall 'P -6 -2'
loop_
_atom_site_label
_atom_site_fract_x
_atom_site_fract_y
_atom_site_fract_z
_atom_site_occupancy
Ho1 0.0000 0.5992 0.0000 1
Er1 0.0000 0.2471 0.5000 1
Te1 0.3333 0.6667 0.5000 1
Pd1 0.0000 0.0000 0.0000 1
# **M_tot**: 0.7 μB/f.u.
# **Uncorrected energy**: -5.121 eV/atom

[11]
# PBE HoEr6Te2Pd2, optimized geometry
data_HoEr6Te2Pd2
_chemical_formula_sum 'Ho2 Er12 Te4 Pd4'
_cell_length_a 3.9215
_cell_length_b 15.6232
_cell_length_c 9.5709
_cell_angle_alpha 90.00
_cell_angle_beta 90.00
_cell_angle_gamma 90.00
_symmetry_space_group_name_H-M 'I m m 2'
_symmetry_Int_Tables_number 44
loop_
_symmetry_equiv_pos_as_xyz
'x,y,z'
'-x,-y,z'
'-x,y,z'
'x,-y,z'
'x+1/2,y+1/2,z+1/2'
'-x+1/2,-y+1/2,z+1/2'
'-x+1/2,y+1/2,z+1/2'
'x+1/2,-y+1/2,z+1/2'
loop_
_atom_site_label
_atom_site_fract_x
_atom_site_fract_y
_atom_site_fract_z
_atom_site_occupancy
Ho1 0.0000 0.0000 0.0000 1
Er1 0.0000 0.1293 0.4169 1
Er2 0.0000 0.3178 0.6243 1
Er3 0.0000 0.3553 0.2643 1
Te1 0.0000 0.0000 0.6631 1
Te2 0.0000 0.5000 0.7654 1
Pd1 0.0000 0.2379 0.9292 1
# **M_tot**: 0.0 μB/f.u.
# **Uncorrected energy**: -5.269 eV/atom

[12]
# PBE Ho2Er5Te2Pd2, optimized geometry
data_Ho2Er5Te2Pd2
_chemical_formula_sum 'Ho4 Er10 Te4 Pd4'
_cell_length_a 3.9201
_cell_length_b 15.6499
_cell_length_c 9.5740
_cell_angle_alpha 90.00
_cell_angle_beta 90.00
_cell_angle_gamma 90.00
_symmetry_space_group_name_H-M 'I m m 2'
_symmetry_Int_Tables_number 44
loop_
_symmetry_equiv_pos_as_xyz
'x,y,z'
'-x,-y,z'
'-x,y,z'
'x,-y,z'
'x+1/2,y+1/2,z+1/2'
'-x+1/2,-y+1/2,z+1/2'
'-x+1/2,y+1/2,z+1/2'
'x+1/2,-y+1/2,z+1/2'
loop_
_atom_site_label
_atom_site_fract_x
_atom_site_fract_y
_atom_site_fract_z
_atom_site_occupancy
Ho1 0.0000 0.1444 0.0000 1
Er1 0.0000 0.1818 0.6402 1
Er2 0.0000 0.3709 0.8474 1
Er3 0.0000 0.5000 0.2641 1
Te1 0.0000 0.0000 0.4993 1
Te2 0.0000 0.5000 0.6010 1
Pd1 0.0000 0.2615 0.3344 1
# **M_tot**: 0.0 μB/f.u.
# **Uncorrected energy**: -5.268 eV/atom